Here is PmMnVSb after structural relaxation from the Alexandria database. Energies are from PBE-GGA.

Calculated values
Fermi-level density of states = 3.1 states/eV/f.u.
energy relative to the elements, uncorrected = 145 meV/atom

a = 6.700 Å, b = 6.700 Å, c = 6.700 Å
α = 90.00°, β = 90.00°, γ = 90.00°
Space group F-43m (No. 216)
Symmetry-distinct sites (fractional):
Pm: 0.000 0.000 0.000 (multiplicity 4)
Mn: 0.250 0.250 0.250 (multiplicity 4)
V: 0.250 0.250 0.750 (multiplicity 4)
Sb: 0.000 0.000 0.500 (multiplicity 4)

---

Here is Nd3Dy6Er2Zr after structural relaxation from the Alexandria database. Energies are from PBE-GGA.

Calculated values
Fermi-level density of states = 15.2 states/eV/f.u.
energy relative to the elements = 0.0442 eV/atom

a = 6.133 Å, b = 10.609 Å, c = 11.703 Å
α = 90.00°, β = 100.00°, γ = 90.00°
Space group C2/m (No. 12)
Symmetry-distinct sites (fractional):
Nd: 0.000 0.000 0.000 (multiplicity 2)
Nd: 0.000 0.334 0.000 (multiplicity 4)
Dy: 0.244 0.337 0.741 (multiplicity 8)
Dy: 0.246 0.500 0.260 (multiplicity 4)
Er: 0.000 0.167 0.500 (multiplicity 4)
Zr: 0.000 0.500 0.500 (multiplicity 2)

---

Here is BaZn2Cd4 after structural relaxation from the Alexandria database. Energies are from PBE-GGA.

Calculated values
Fermi-level density of states = 3.2 states/eV/f.u.
energy relative to the elements = -0.1091 eV/atom

a = 5.607 Å, b = 5.927 Å, c = 6.432 Å
α = 73.60°, β = 64.44°, γ = 63.66°
Space group P-1 (No. 2)
Symmetry-distinct sites (fractional):
Ba: 0.000 0.000 0.000 (multiplicity 1)
Zn: 0.235 0.507 0.509 (multiplicity 2)
Cd: 0.287 0.037 0.394 (multiplicity 2)
Cd: 0.349 0.379 0.934 (multiplicity 2)

---

Here is CsN4 after structural relaxation from the Alexandria database. Energies are from PBE-GGA.

Calculated values
Fermi-level density of states = 3.2 states/eV/f.u.
energy relative to the elements, uncorrected = -60 meV/atom

a = 6.478 Å, b = 6.478 Å, c = 6.255 Å
α = 90.00°, β = 90.00°, γ = 90.00°
Space group I4/mmm (No. 139)
Symmetry-distinct sites (fractional):
Cs: 0.000 0.000 0.000 (multiplicity 2)
N: 0.000 0.412 0.500 (multiplicity 8)

---

- What is the Fermi-level density of states in the second record?
  15.2 states/eV/f.u.

---

Copy entry 4 word for word.
Here is CsN4 after structural relaxation from the Alexandria database. Energies are from PBE-GGA.

Calculated values
Fermi-level density of states = 3.2 states/eV/f.u.
energy relative to the elements, uncorrected = -60 meV/atom

a = 6.478 Å, b = 6.478 Å, c = 6.255 Å
α = 90.00°, β = 90.00°, γ = 90.00°
Space group I4/mmm (No. 139)
Symmetry-distinct sites (fractional):
Cs: 0.000 0.000 0.000 (multiplicity 2)
N: 0.000 0.412 0.500 (multiplicity 8)